[1]
MnAs2HO6: relaxed, GGA+U.

Cell: 6.1622 8.5294 8.5294 Å, 72.44 56.57 56.57°
Closest atoms and distances in Å follow each position.
Fractional positions:
O: 0.3999 0.3004 0.0078  1 As 1.68
O: 0.1001 0.9922 0.6996  1 As 1.68
O: 0.5166 0.2329 0.6333  1 H 1.22
O: 0.0305 0.7019 0.6121  2 As 1.81-1.94
O: 0.4695 0.3879 0.2981  2 As 1.81-1.94
O: 0.0166 0.6333 0.2329  1 H 1.22
O: 0.8999 0.0078 0.3004  1 As 1.68
O: 0.4834 0.7671 0.3667  1 H 1.22
O: 0.5305 0.6121 0.7019  2 As 1.81-1.94
O: 0.6001 0.6996 0.9922  1 As 1.68
O: 0.9695 0.2981 0.3879  2 As 1.81-1.94
O: 0.9834 0.3667 0.7671  1 H 1.22
H: 0.7500 0.7008 0.2992  2 O 1.22
H: 0.2500 0.2992 0.7008  2 O 1.22
As: 0.2733 0.7770 0.6145  3 O 1.68-1.81
As: 0.7267 0.2230 0.3855  3 O 1.68-1.81
As: 0.2267 0.3855 0.2230  3 O 1.68-1.81
As: 0.7733 0.6145 0.7770  3 O 1.68-1.81
Mn: 0.7500 0.2619 0.7381  4 O 2.06-2.21
Mn: 0.2500 0.7381 0.2619  4 O 2.06-2.21

Computed properties:
Symmetry: C2/c (15)
VASP energy (eV/atom): -6.1340

=====

[2]
Mn2AsHO6: relaxed, GGA+U.

Cell: 4.9397 5.0592 5.8745 Å, 61.80 63.29 59.82°
Closest atoms and distances in Å follow each position.
Fractional positions:
O: 0.7343 0.1501 0.7682  1 As 1.86, 1 Mn 1.93
O: 0.2523 0.9581 0.1996  1 As 1.81, 1 Mn 1.96
O: 0.4083 0.7499 0.7531  1 H 0.99
O: 0.6109 0.2333 0.1932  1 As 1.84, 1 Mn 1.93
O: 0.1412 0.3967 0.7695  1 As 1.86, 1 Mn 1.95
O: 0.9890 0.5913 0.1848  1 As 1.82, 1 Mn 1.97
As: 0.3448 0.3220 0.0065  5 O 1.81-1.86
Mn: 0.0207 0.0183 0.9724  6 O 1.93-2.00
Mn: 0.5437 0.5033 0.4185  5 O 2.13-2.21
H: 0.6163 0.7384 0.7494  1 O 0.99

Computed properties:
Symmetry: P1 (1)
VASP energy (eV/atom): -6.6193

=====

[3]
MnAsH2O5: relaxed, GGA+U.

Cell: 5.3597 5.3597 7.6198 Å, 103.83 103.83 97.97°
Closest atoms and distances in Å follow each position.
Fractional positions:
O: 0.6678 0.7704 0.3442  1 H 1.69, 1 As 1.73
O: 0.7704 0.6678 0.8442  1 H 1.69, 1 As 1.73
O: 0.6621 0.2862 0.4241  1 As 1.71
O: 0.2862 0.6621 0.9241  1 As 1.71
O: 0.2296 0.3322 0.1558  1 H 1.69, 1 As 1.73
O: 0.3379 0.7138 0.5759  1 As 1.71
O: 0.1089 0.8911 0.2500  2 H 1.00
O: 0.7138 0.3379 0.0759  1 As 1.71
O: 0.8911 0.1089 0.7500  2 H 1.00
O: 0.3322 0.2296 0.6558  1 H 1.69, 1 As 1.73
As: 0.4336 0.5664 0.7500  4 O 1.71-1.73
As: 0.5664 0.4336 0.2500  4 O 1.71-1.73
H: 0.1200 0.0500 0.2020  1 O 1.00
H: 0.8800 0.9500 0.7980  1 O 1.00
H: 0.9500 0.8800 0.2980  1 O 1.00
H: 0.0500 0.1200 0.7020  1 O 1.00
Mn: 0.0000 0.5000 0.0000  4 O 1.93-1.96
Mn: 0.5000 0.0000 0.5000  4 O 1.93-1.96

Computed properties:
Symmetry: C2/c (15)
VASP energy (eV/atom): -6.1286

=====

[4]
Mn2AsHO5: relaxed, GGA+U.

Cell: 6.4141 8.7031 8.8313 Å, 90.00 90.00 90.00°
Closest atoms and distances in Å follow each position.
Fractional positions:
H: 0.5000 0.7142 0.5804  1 O 0.98
H: 0.0000 0.2142 0.9196  1 O 0.98
H: 0.5000 0.2858 0.4196  1 O 0.98
H: 0.0000 0.7858 0.0804  1 O 0.98
O: 0.2165 0.2247 0.1406  1 As 1.73
O: 0.2165 0.7753 0.8594  1 As 1.73
O: 0.7165 0.2753 0.6406  1 As 1.73
O: 0.2835 0.2753 0.6406  1 As 1.73
O: 0.5000 0.3874 0.3725  1 H 0.98
O: 0.7835 0.2247 0.1406  1 As 1.73
O: 0.7835 0.7753 0.8594  1 As 1.73
O: 0.2835 0.7247 0.3594  1 As 1.73
O: 0.5000 0.9159 0.1442  1 As 1.73
O: 0.0000 0.1126 0.8725  1 H 0.98
O: 0.0000 0.8874 0.1275  1 H 0.98
O: 0.5000 0.6029 0.1077  1 As 1.72
O: 0.5000 0.6126 0.6275  1 H 0.98
O: 0.5000 0.0841 0.8558  1 As 1.73
O: 0.5000 0.3971 0.8923  1 As 1.72
O: 0.0000 0.4159 0.3558  1 As 1.73
O: 0.0000 0.8971 0.6077  1 As 1.72
O: 0.7165 0.7247 0.3594  1 As 1.73
O: 0.0000 0.5841 0.6442  1 As 1.73
O: 0.0000 0.1029 0.3923  1 As 1.72
As: 0.0000 0.7554 0.7441  4 O 1.72-1.73
As: 0.5000 0.7446 0.2441  4 O 1.72-1.73
As: 0.0000 0.2446 0.2559  4 O 1.72-1.73
As: 0.5000 0.2554 0.7559  4 O 1.72-1.73
Mn: 0.7475 0.5000 0.5000  6 O 2.18-2.33
Mn: 0.5000 0.3586 0.1338  5 O 2.12-2.16
Mn: 0.7525 0.0000 0.0000  6 O 2.18-2.33
Mn: 0.5000 0.6414 0.8662  5 O 2.12-2.16
Mn: 0.0000 0.1414 0.6338  5 O 2.12-2.16
Mn: 0.2475 0.0000 0.0000  6 O 2.18-2.33
Mn: 0.0000 0.8586 0.3662  5 O 2.12-2.16
Mn: 0.2525 0.5000 0.5000  6 O 2.18-2.33

Computed properties:
Symmetry: Pnnm (58)
VASP energy (eV/atom): -6.7996